[1]
## K2MgRu (PBE)

Data for crystalline K2MgRu at its relaxed geometry.

Uncorrected energy, eV/atom: -2.612
Formation energy, meV/atom: 655

Cell: 4.8128 4.8128 9.8333 Å, 92.36 92.36 36.00°
Element x y z (fractional)
K  0.0000  0.0000  0.0000
K  0.2300  0.2300  0.5771
Mg  0.4734  0.4734  0.3239
Ru  0.7420  0.7420  0.2491

[2]
## KMg2Ru (PBE)

Data for crystalline KMg2Ru at its relaxed geometry.

Uncorrected energy, eV/atom: -3.026
Formation energy, meV/atom: 365
Energy above the lowest structure with this stoichiometry, meV/atom: 124

Cell: 8.6764 8.6764 8.6764 Å, 160.08 149.79 36.45°
Element x y z (fractional)
K  0.0000  0.0000  0.0000
Mg  0.3171  0.3171  0.0000
Mg  0.6831  0.1831  0.5000
Ru  0.1848  0.6848  0.5000

[3]
## KMg2Ru (PBE)

Data for crystalline KMg2Ru at its relaxed geometry.

Uncorrected energy, eV/atom: -2.959
Formation energy, meV/atom: 432
Energy above the lowest structure with this stoichiometry, meV/atom: 191

Cell: 4.6201 4.6201 7.6682 Å, 94.27 94.27 37.90°
Element x y z (fractional)
K  0.0000  0.0000  0.0000
Mg  0.2306  0.2306  0.6590
Mg  0.7694  0.7694  0.3410
Ru  0.5000  0.5000  0.5000

[4]
## K2MgSiRu (PBE)

Data for crystalline K2MgSiRu at its relaxed geometry.

Uncorrected energy, eV/atom: -2.483
Formation energy from raw total energies, meV/atom: 1214

Cell: 6.4510 6.4510 4.9386 Å, 90.00 90.00 90.00°
Element x y z (fractional)
K  0.0000  0.5000  0.0000
K  0.5000  0.0000  0.0000
Mg  0.0000  0.0000  0.5000
Si  0.0000  0.0000  0.0000
Ru  0.5000  0.5000  0.5000